## MnCu5Pd2 (PBE-GGA)

Data for crystalline MnCu5Pd2 at its relaxed geometry.

## Properties
Space-group type ... Pbam (55)
Electronic total energy ... -81.82 eV for the cell shown
DFT formation energy ... -0.11 eV per atom

Geometry as POSCAR:
```
MnCu5Pd2
1.0
-3.402 1.230 -1.030
-1.744 -0.680 4.951
2.864 9.903 2.369
Cu Mn Pd
10 2 4
Cartesian
-2.650 1.365 3.515 Cu
-1.075 4.133 1.621 Cu
0.367 9.089 2.775 Cu
1.271 7.080 4.258 Cu
-1.028 1.790 5.534 Cu
0.560 4.612 3.660 Cu
-1.207 6.321 4.669 Cu
-0.152 2.144 3.062 Cu
2.148 7.433 1.786 Cu
0.000 0.000 0.000 Cu
-0.872 -0.340 2.475 Mn
1.432 4.952 1.185 Mn
-0.502 8.778 5.277 Pd
-1.932 3.827 4.085 Pd
-1.780 1.676 1.013 Pd
-0.350 6.627 2.205 Pd
```

---

## MnCuPd6 (PBE-GGA)

Data for crystalline MnCuPd6 at its relaxed geometry.

## Properties
ΔE to the lowest computed polymorph ... 282 meV/atom
Space-group type ... C2/m (12)
Electronic total energy ... -43.28 eV for the cell shown
DFT formation energy ... 0.14 eV per atom

Geometry as POSCAR:
```
MnCuPd6
1.0
4.595 0.675 0.059
1.018 4.531 0.059
1.709 1.585 6.737
Pd Cu Mn
6 1 1
Cartesian
4.203 5.654 4.783 Pd
1.369 3.025 2.073 Pd
3.592 3.331 6.333 Pd
3.120 1.137 2.073 Pd
5.954 3.766 4.783 Pd
3.731 3.460 0.523 Pd
0.000 0.000 0.000 Cu
3.661 3.396 3.428 Mn
```

---

## Mn2Cu3Pd3 (PBE-GGA)

Data for crystalline Mn2Cu3Pd3 at its relaxed geometry.

## Properties
Space-group type ... Pmmm (47)
Electronic total energy ... -47.53 eV for the cell shown
DFT formation energy ... -0.17 eV per atom

Geometry as POSCAR:
```
Mn2Cu3Pd3
1.0
-1.593 2.934 -2.078
-3.532 -1.004 1.289
0.810 4.488 5.716
Cu Mn Pd
3 2 3
Cartesian
-2.363 2.068 1.010 Cu
-1.951 4.350 3.916 Cu
-0.796 1.467 -1.039 Cu
0.608 3.366 4.286 Mn
0.203 1.123 1.430 Mn
-1.766 -0.502 0.645 Pd
-1.361 1.742 3.502 Pd
-0.391 3.711 1.819 Pd
```

---

## MnCu4Pd2 (PBE-GGA)

Data for crystalline MnCu4Pd2 at its relaxed geometry.

## Properties
ΔE to the lowest computed polymorph ... 273 meV/atom
Space-group type ... I4/mmm (139)
Electronic total energy ... -33.54 eV for the cell shown
DFT formation energy ... 0.34 eV per atom

Geometry as POSCAR:
```
MnCu4Pd2
1.0
4.516 0.000 -1.364
-0.413 4.497 -1.365
-0.741 -0.813 5.701
Cu Pd Mn
4 2 1
Cartesian
-0.206 2.248 -0.683 Cu
0.449 2.966 1.486 Cu
2.258 0.000 -0.682 Cu
2.913 0.718 1.486 Cu
2.424 2.656 -0.133 Pd
0.938 1.028 3.105 Pd
0.000 0.000 0.000 Mn
```

---

## MnCuPd3 (PBE-GGA)

Data for crystalline MnCuPd3 at its relaxed geometry.

## Properties
ΔE to the lowest computed polymorph ... 0 meV/atom
Space-group type ... P-1 (2)
Electronic total energy ... -59.47 eV for the cell shown
DFT formation energy ... -0.18 eV per atom

Geometry as POSCAR:
```
MnCuPd3
1.0
-1.676 3.989 -1.614
-0.566 -0.748 -4.511
-7.463 -0.296 0.411
Pd Mn Cu
6 2 2
Cartesian
-7.805 3.318 -2.764 Pd
-3.541 0.225 -1.629 Pd
-2.407 0.344 -4.145 Pd
-4.696 1.836 -4.687 Pd
-7.281 0.944 -4.214 Pd
-2.928 2.722 -2.702 Pd
-5.668 1.773 -2.201 Mn
-1.956 2.785 -5.188 Mn
-5.091 -0.581 -3.649 Cu
-0.857 1.151 -2.122 Cu
```

---

## Mn2CuPd (PBE-GGA)

Data for crystalline Mn2CuPd at its relaxed geometry.

## Properties
Space-group type ... P4/mmm (123)
Electronic total energy ... -27.55 eV for the cell shown
DFT formation energy ... 0.02 eV per atom

Geometry as POSCAR:
```
Mn2CuPd
1.0
-1.841 -2.547 -0.467
3.041 -2.501 1.646
-1.687 0.507 3.887
Mn Cu Pd
2 1 1
Cartesian
1.521 -1.250 0.823 Mn
-0.844 0.253 1.944 Mn
-0.921 -1.274 -0.234 Cu
-0.244 -2.271 2.533 Pd
```

---

## MnCu4Pd3 (PBE-GGA)

Data for crystalline MnCu4Pd3 at its relaxed geometry.

## Properties
ΔE to the lowest computed polymorph ... 0 meV/atom
Space-group type ... C2/m (12)
Electronic total energy ... -42.35 eV for the cell shown
DFT formation energy ... -0.15 eV per atom

Geometry as POSCAR:
```
MnCu4Pd3
1.0
0.285 3.186 -1.852
-2.070 -1.510 -2.917
-5.500 1.635 5.654
Pd Cu Mn
3 4 1
Cartesian
-1.676 0.648 0.856 Pd
-5.609 2.662 0.028 Pd
-1.035 -0.755 -1.458 Pd
-2.567 1.485 -1.529 Cu
-4.212 0.473 0.166 Cu
-4.718 1.826 2.414 Cu
-3.074 2.837 0.719 Cu
0.143 1.593 -0.926 Mn
```

---

## MnCu6Pd2 (PBE-GGA)

Data for crystalline MnCu6Pd2 at its relaxed geometry.

## Properties
ΔE to the lowest computed polymorph ... 38 meV/atom
Space-group type ... C2/c (15)
Electronic total energy ... -87.30 eV for the cell shown
DFT formation energy ... 0.05 eV per atom

Geometry as POSCAR:
```
MnCu6Pd2
1.0
4.366 -2.444 -1.030
-1.393 8.953 -0.168
-4.326 0.290 7.958
Cu Mn Pd
12 2 4
Cartesian
-0.775 4.395 1.713 Cu
-0.913 7.848 1.685 Cu
1.238 4.260 0.052 Cu
-2.517 0.839 4.922 Cu
-0.599 6.148 -0.014 Cu
-0.440 -1.049 5.076 Cu
1.164 5.960 1.838 Cu
-0.578 2.404 5.048 Cu
0.550 0.640 3.574 Cu
-0.754 0.651 6.775 Cu
-2.591 2.539 6.708 Cu
-1.903 6.159 3.187 Cu
-3.119 0.021 7.380 Mn
1.766 6.778 -0.619 Mn
1.031 1.692 1.266 Pd
-1.442 2.058 2.583 Pd
0.090 4.741 4.177 Pd
-2.383 5.107 5.495 Pd
```

---

## Mn2CuPd9 (PBE-GGA)

Data for crystalline Mn2CuPd9 at its relaxed geometry.

## Properties
Space-group type ... P4/mmm (123)
Electronic total energy ... -71.18 eV for the cell shown
DFT formation energy ... -0.17 eV per atom

Geometry as POSCAR:
```
Mn2CuPd9
1.0
-0.916 -1.830 -3.336
-1.226 -3.107 2.041
-10.827 4.576 0.462
Pd Mn Cu
9 2 1
Cartesian
-6.027 0.735 1.251 Pd
-9.654 2.268 1.406 Pd
-9.499 2.906 -1.283 Pd
-2.244 -0.160 -1.592 Pd
-1.071 -2.468 -0.648 Pd
-5.872 1.373 -1.437 Pd
-4.672 -0.947 -0.494 Pd
-2.400 -0.798 1.097 Pd
-8.298 0.586 -0.340 Pd
-7.238 3.059 0.309 Mn
-3.589 1.517 0.153 Mn
0.000 0.000 0.000 Cu
```

---

## Mn6CuPd12 (PBE-GGA)

Data for crystalline Mn6CuPd12 at its relaxed geometry.

## Properties
Space-group type ... R-3 (148)
Electronic total energy ... -117.85 eV for the cell shown
DFT formation energy ... 0.19 eV per atom

Geometry as POSCAR:
```
Mn6CuPd12
1.0
6.591 -0.008 -0.010
-1.007 6.514 -0.010
-1.007 -1.173 6.407
Pd Mn Cu
12 6 1
Cartesian
1.932 2.086 0.387 Pd
2.645 3.247 6.001 Pd
-0.285 1.911 2.121 Pd
4.159 0.374 0.927 Pd
0.418 4.958 5.461 Pd
1.769 -0.017 2.259 Pd
4.372 1.093 5.854 Pd
4.862 3.422 4.267 Pd
-0.261 0.167 4.266 Pd
2.808 5.350 4.129 Pd
0.205 4.239 0.534 Pd
4.837 5.165 2.121 Pd
0.717 4.045 3.065 Mn
2.419 4.276 1.860 Mn
3.859 1.287 3.323 Mn
3.889 2.780 1.849 Mn
0.687 2.553 4.539 Mn
2.158 1.057 4.528 Mn
0.000 0.000 0.000 Cu
```

---

## MnCu4Pd3 (PBE-GGA)

Data for crystalline MnCu4Pd3 at its relaxed geometry.

## Properties
ΔE to the lowest computed polymorph ... 45 meV/atom
Space-group type ... I4/mmm (139)
Electronic total energy ... -41.99 eV for the cell shown
DFT formation energy ... -0.11 eV per atom

Geometry as POSCAR:
```
MnCu4Pd3
1.0
3.913 0.000 0.000
0.000 3.610 -1.500
-1.957 -9.888 11.850
Cu Mn Pd
4 1 3
Cartesian
1.957 -6.967 8.700 Cu
0.000 -5.159 7.950 Cu
1.957 -1.119 2.399 Cu
0.000 0.688 1.650 Cu
1.957 0.000 0.000 Mn
0.000 -4.045 5.540 Pd
1.957 -2.234 4.810 Pd
0.000 1.805 -0.750 Pd
```

---

## MnCu4Pd2 (PBE-GGA)

Data for crystalline MnCu4Pd2 at its relaxed geometry.

## Properties
ΔE to the lowest computed polymorph ... 0 meV/atom
Space-group type ... P4_2/mnm (136)
Electronic total energy ... -70.91 eV for the cell shown
DFT formation energy ... 0.07 eV per atom

Geometry as POSCAR:
```
MnCu4Pd2
1.0
4.364 0.000 0.000
0.000 6.815 0.000
0.000 0.000 6.815
Pd Cu Mn
4 8 2
Cartesian
0.000 5.436 1.379 Pd
0.000 1.379 5.436 Pd
2.182 2.029 2.029 Pd
2.182 4.787 4.787 Pd
0.000 4.165 5.927 Cu
2.182 4.296 0.758 Cu
0.000 0.888 2.650 Cu
2.182 2.519 6.058 Cu
2.182 6.058 2.519 Cu
0.000 2.650 0.888 Cu
0.000 5.927 4.165 Cu
2.182 0.758 4.296 Cu
2.182 0.000 0.000 Mn
0.000 3.408 3.408 Mn
```

---

## MnCu3Pd4 (PBE-GGA)

Data for crystalline MnCu3Pd4 at its relaxed geometry.

## Properties
ΔE to the lowest computed polymorph ... 0 meV/atom
Space-group type ... P4/mmm (123)
Electronic total energy ... -87.35 eV for the cell shown
DFT formation energy ... -0.18 eV per atom

Geometry as POSCAR:
```
MnCu3Pd4
1.0
4.316 0.000 0.000
0.000 6.045 0.000
0.000 0.000 8.630
Pd Cu Mn
8 6 2
Cartesian
4.312 1.494 2.157 Pd
2.158 1.494 4.315 Pd
4.312 4.551 2.157 Pd
2.158 4.551 0.000 Pd
0.004 1.494 6.472 Pd
2.158 1.494 0.000 Pd
2.158 4.551 4.315 Pd
0.004 4.551 6.472 Pd
2.155 3.022 2.157 Cu
2.154 0.000 2.157 Cu
0.000 0.000 4.315 Cu
2.161 0.000 6.472 Cu
2.161 3.022 6.472 Cu
0.000 0.000 0.000 Cu
0.000 3.022 4.315 Mn
0.000 3.022 0.000 Mn
```

---

## MnCu2Pd4 (PBE-GGA)

Data for crystalline MnCu2Pd4 at its relaxed geometry.

## Properties
ΔE to the lowest computed polymorph ... 43 meV/atom
Space-group type ... I-42d (122)
Electronic total energy ... -75.91 eV for the cell shown
DFT formation energy ... 0.03 eV per atom

Geometry as POSCAR:
```
MnCu2Pd4
1.0
6.058 0.404 2.392
-3.375 5.312 1.724
-0.257 0.404 6.508
Cu Mn Pd
4 2 8
Cartesian
0.059 3.673 5.212 Cu
3.147 1.219 6.608 Cu
2.619 4.613 7.469 Cu
-0.973 2.734 1.958 Cu
2.121 1.631 3.254 Mn
0.000 0.000 0.000 Mn
2.641 3.299 5.179 Pd
1.004 2.530 7.314 Pd
4.033 2.731 8.509 Pd
1.131 4.048 2.863 Pd
4.327 0.642 4.317 Pd
-1.610 5.020 6.753 Pd
-0.339 1.393 4.060 Pd
-1.483 4.817 3.499 Pd
```

---

## MnCuPd (PBE-GGA)

Data for crystalline MnCuPd at its relaxed geometry.

## Properties
ΔE to the lowest computed polymorph ... 154 meV/atom
Space-group type ... R3m (160)
Electronic total energy ... -18.26 eV for the cell shown
DFT formation energy ... 0.07 eV per atom

Geometry as POSCAR:
```
MnCuPd
1.0
-6.024 2.550 -0.383
4.532 -4.695 -0.594
0.551 0.188 2.726
Mn Pd Cu
1 1 1
Cartesian
-0.200 -0.806 2.075 Mn
-4.278 1.203 -0.091 Pd
-1.777 0.848 0.852 Cu
```

---

## Mn2CuPd (PBE-GGA)

Data for crystalline Mn2CuPd at its relaxed geometry.

## Properties
Space-group type ... I-42d (122)
Electronic total energy ... -41.68 eV for the cell shown
DFT formation energy ... 1.70 eV per atom

Geometry as POSCAR:
```
Mn2CuPd
1.0
5.266 0.000 0.000
0.000 5.266 0.000
2.633 2.633 5.206
Mn Pd Cu
4 2 2
Cartesian
3.893 1.316 1.302 Mn
6.582 6.526 3.905 Mn
3.949 4.006 3.905 Mn
1.373 3.949 1.302 Mn
5.266 2.633 2.603 Pd
0.000 0.000 0.000 Pd
2.633 5.266 2.603 Cu
2.633 2.633 0.000 Cu
```

---

## MnCu5Pd8 (PBE-GGA)

Data for crystalline MnCu5Pd8 at its relaxed geometry.

## Properties
Space-group type ... I-4 (82)
Electronic total energy ... -70.74 eV for the cell shown
DFT formation energy ... 0.03 eV per atom

Geometry as POSCAR:
```
MnCu5Pd8
1.0
-5.933 -2.608 0.112
2.127 0.521 -6.101
3.905 -3.870 3.434
Pd Cu Mn
8 5 1
Cartesian
2.969 -1.701 -2.834 Pd
0.546 -5.052 0.778 Pd
-2.520 -3.140 -0.331 Pd
0.212 -2.357 -0.174 Pd
0.932 -0.263 -4.207 Pd
-2.775 -4.959 1.883 Pd
-0.796 -2.021 -2.722 Pd
1.829 -4.334 -2.611 Pd
-0.550 -4.451 -1.580 Cu
2.212 -4.462 2.788 Cu
0.993 -0.406 -1.577 Cu
-1.014 -3.239 1.773 Cu
-2.457 -2.595 -4.741 Cu
2.509 -3.294 -0.447 Mn
```

---

## MnCu6Pd5 (PBE-GGA)

Data for crystalline MnCu6Pd5 at its relaxed geometry.

## Properties
Space-group type ... Immm (71)
Electronic total energy ... -61.07 eV for the cell shown
DFT formation energy ... -0.11 eV per atom

Geometry as POSCAR:
```
MnCu6Pd5
1.0
-1.862 -0.814 3.388
-6.191 -0.084 -3.422
4.673 -5.316 -1.013
Cu Pd Mn
6 5 1
Cartesian
-2.032 -4.264 0.162 Cu
1.032 -4.223 1.856 Cu
-1.347 -1.949 -1.208 Cu
-5.534 -0.469 -0.849 Cu
-2.519 -0.428 0.816 Cu
-4.411 -1.991 -2.902 Cu
-0.726 -2.233 1.368 Pd
-3.096 -0.042 -1.711 Pd
-2.654 -3.981 -2.414 Pd
-3.807 -2.403 -0.366 Pd
0.428 -3.810 -0.680 Pd
0.000 0.000 0.000 Mn
```

---

## MnCuPd3 (PBE-GGA)

Data for crystalline MnCuPd3 at its relaxed geometry.

## Properties
ΔE to the lowest computed polymorph ... 861 meV/atom
Space-group type ... Pm-3m (221)
Electronic total energy ... -25.43 eV for the cell shown
DFT formation energy ... 0.68 eV per atom

Geometry as POSCAR:
```
MnCuPd3
1.0
-1.629 -0.220 -4.265
4.013 -1.641 -1.448
-1.462 -4.260 0.777
Pd Cu Mn
3 1 1
Cartesian
2.006 -0.820 -0.724 Pd
-0.731 -2.130 0.389 Pd
-0.814 -0.110 -2.132 Pd
0.000 0.000 0.000 Cu
0.461 -3.060 -2.468 Mn
```

---

## Mn6CuPd5 (PBE-GGA)

Data for crystalline Mn6CuPd5 at its relaxed geometry.

## Properties
Space-group type ... C2/m (12)
Electronic total energy ... -86.47 eV for the cell shown
DFT formation energy ... -0.12 eV per atom

Geometry as POSCAR:
```
Mn6CuPd5
1.0
-1.147 4.152 0.652
-5.112 -0.846 -3.607
-0.291 -3.471 6.752
Pd Mn Cu
5 6 1
Cartesian
-4.820 -1.626 1.688 Pd
-2.291 -1.218 3.533 Pd
-4.259 1.053 0.265 Pd
-2.556 -0.423 -1.804 Pd
-1.730 1.460 2.110 Pd
-4.979 -1.236 -0.987 Mn
-4.170 0.640 2.951 Mn
-1.571 1.070 4.785 Mn
-2.380 -0.806 0.846 Mn
-4.448 1.434 -2.408 Mn
-2.102 -1.600 6.205 Mn
0.000 0.000 0.000 Cu
```

---

## MnCu2Pd3 (PBE-GGA)

Data for crystalline MnCu2Pd3 at its relaxed geometry.

## Properties
ΔE to the lowest computed polymorph ... 0 meV/atom
Space-group type ... P2/m (10)
Electronic total energy ... -68.18 eV for the cell shown
DFT formation energy ... -0.19 eV per atom

Geometry as POSCAR:
```
MnCu2Pd3
1.0
-1.721 3.674 1.582
-3.396 3.133 -5.069
-4.986 -2.979 1.499
Pd Cu Mn
6 4 2
Cartesian
-3.817 1.961 -2.734 Pd
-7.968 2.753 -3.162 Pd
-6.284 0.487 -1.992 Pd
-3.819 3.341 0.005 Pd
-6.286 1.867 0.747 Pd
-2.135 1.076 1.174 Pd
-2.493 -1.490 0.749 Cu
0.000 0.000 0.000 Cu
-5.904 3.060 -1.551 Cu
-4.199 0.768 -0.437 Cu
-1.687 2.250 -1.138 Mn
-8.416 1.578 -0.850 Mn
```

---

## Mn2CuPd5 (PBE-GGA)

Data for crystalline Mn2CuPd5 at its relaxed geometry.

## Properties
Space-group type ... I4/mmm (139)
Electronic total energy ... -50.13 eV for the cell shown
DFT formation energy ... -0.22 eV per atom

Geometry as POSCAR:
```
Mn2CuPd5
1.0
4.979 0.737 -2.141
-1.908 4.657 -2.143
-0.423 -0.740 5.403
Cu Pd Mn
1 5 2
Cartesian
1.967 3.456 2.069 Cu
0.853 1.499 -1.190 Pd
2.177 3.825 -0.631 Pd
0.642 1.128 1.511 Pd
-0.101 3.827 -2.262 Pd
2.920 1.127 3.142 Pd
3.131 1.497 0.440 Mn
-0.312 3.457 0.440 Mn
```